*i*
BeAs2I2 | PBE-GGA | optimized geometry

Fermi-level density of states ... 0.000 states/eV per atom
M_tot ... 0.0 μB/f.u.
Crystal system ... tetragonal

Cell lengths 7.093, 7.093, 9.463 Å; angles 90.00, 90.00, 90.00 degrees
Space group P4/mbm (No. 127)
Unique sites:
Be1 0.000 0.000 0.000 [2 per cell]
As1 0.106 0.394 0.500 [4 per cell]
I1 0.189 0.689 0.000 [4 per cell]



*ii*
BeAs2I2 | PBE-GGA | optimized geometry

Fermi-level density of states ... 0.486 states/eV per atom
M_tot ... 0.0 μB/f.u.
Crystal system ... tetragonal

Cell lengths 3.614, 3.614, 24.832 Å; angles 90.00, 90.00, 90.00 degrees
Space group I4/mmm (No. 139)
Unique sites:
Be1 0.000 0.000 0.000 [2 per cell]
As1 0.000 0.500 0.250 [4 per cell]
I1 0.000 0.000 0.431 [4 per cell]



Least stable structure: *ii*



*i*
Be3AsI | PBE-GGA | optimized geometry

Fermi-level density of states ... 0.264 states/eV per atom
M_tot ... 0.0 μB/f.u.
Crystal system ... cubic

Cell lengths 4.712, 4.712, 4.712 Å; angles 90.00, 90.00, 90.00 degrees
Space group Pm-3m (No. 221)
Unique sites:
Be1 0.000 0.000 0.500 [3 per cell]
As1 0.500 0.500 0.500 [1 per cell]
I1 0.000 0.000 0.000 [1 per cell]



*ii*
Be3AsI | PBE-GGA | optimized geometry

Fermi-level density of states ... 0.539 states/eV per atom
M_tot ... 0.0 μB/f.u.
Crystal system ... cubic

Cell lengths 4.550, 4.550, 4.550 Å; angles 90.00, 90.00, 90.00 degrees
Space group Pm-3m (No. 221)
Unique sites:
Be1 0.000 0.000 0.500 [3 per cell]
As1 0.000 0.000 0.000 [1 per cell]
I1 0.500 0.500 0.500 [1 per cell]



Least stable structure: *i*



*i*
BeAsI2 | PBE-GGA | optimized geometry

Fermi-level density of states ... 0.741 states/eV per atom
M_tot ... 0.0 μB/f.u.
Crystal system ... cubic

Cell lengths 7.286, 7.286, 7.286 Å; angles 90.00, 90.00, 90.00 degrees
Space group Fm-3m (No. 225)
Unique sites:
Be1 0.000 0.000 0.000 [4 per cell]
As1 0.000 0.000 0.500 [4 per cell]
I1 0.250 0.250 0.250 [8 per cell]



*ii*
BeAsI2 | PBE-GGA | optimized geometry

Fermi-level density of states ... 0.000 states/eV per atom
M_tot ... 3.0 μB/f.u.
Crystal system ... tetragonal

Cell lengths 7.693, 7.693, 9.466 Å; angles 90.00, 90.00, 90.00 degrees
Space group I-42d (No. 122)
Unique sites:
Be1 0.000 0.000 0.000 [4 per cell]
As1 0.000 0.000 0.500 [4 per cell]
I1 0.126 0.250 0.125 [8 per cell]



Least stable structure: *i*



*i*
BeAsI2N | PBE-GGA | optimized geometry

Fermi-level density of states ... 1.349 states/eV per atom
M_tot ... 0.0 μB/f.u.
Crystal system ... tetragonal

Cell lengths 5.778, 5.778, 3.163 Å; angles 90.00, 90.00, 90.00 degrees
Space group P4/mmm (No. 123)
Unique sites:
Be1 0.000 0.000 0.000 [1 per cell]
As1 0.500 0.500 0.500 [1 per cell]
I1 0.000 0.500 0.000 [2 per cell]
N1 0.000 0.000 0.500 [1 per cell]



*ii*
BeAsI2N | PBE-GGA | optimized geometry

Fermi-level density of states ... 0.855 states/eV per atom
M_tot ... 0.0 μB/f.u.
Crystal system ... tetragonal

Cell lengths 5.867, 5.867, 3.694 Å; angles 90.00, 90.00, 90.00 degrees
Space group P4/mmm (No. 123)
Unique sites:
Be1 0.000 0.000 0.000 [1 per cell]
As1 0.500 0.500 0.500 [1 per cell]
I1 0.000 0.500 0.500 [2 per cell]
N1 0.500 0.500 0.000 [1 per cell]



Least stable structure: *ii*